[1]
Material: LiCoAsPd
Method: DFT, PBE
State: relaxed

Geometry as POSCAR:
```
LiCoAsPd
1.0
0.000 2.952 2.952
2.952 0.000 2.952
2.952 2.952 0.000
Li Co As Pd
1 1 1 1
direct
0.000 0.000 0.000 Li
0.750 0.750 0.750 Co
0.500 0.500 0.500 As
0.250 0.250 0.250 Pd
```

Calculated values
Polymorph energy (0 for the lowest one) = 0.000 eV/atom
Crystal system = cubic



[2]
Material: LiCo2As2Pd
Method: DFT, PBE
State: relaxed

Geometry as POSCAR:
```
LiCo2As2Pd
1.0
3.723 0.000 0.000
0.000 3.723 0.000
0.000 0.000 6.037
Li Co As Pd
1 2 2 1
direct
0.000 0.000 0.000 Li
0.000 0.500 0.665 Co
0.500 0.000 0.665 Co
0.000 0.000 0.427 As
0.500 0.500 0.897 As
0.500 0.500 0.314 Pd
```

Calculated values
Uncorrected energy = -5.55 eV/atom
Crystal system = tetragonal



[3]
Material: LiCoAsPd
Method: DFT, PBE
State: relaxed

Geometry as POSCAR:
```
LiCoAsPd
1.0
0.000 2.977 2.977
2.977 0.000 2.977
2.977 2.977 0.000
Li Co As Pd
1 1 1 1
direct
0.000 0.000 0.000 Li
0.500 0.500 0.500 Co
0.250 0.250 0.250 As
0.750 0.750 0.750 Pd
```

Calculated values
Polymorph energy (0 for the lowest one) = 0.061 eV/atom
Crystal system = cubic



[4]
Material: LiCoReAs
Method: DFT, PBE
State: relaxed

Geometry as POSCAR:
```
LiCoReAs
1.0
0.000 2.909 2.909
2.909 0.000 2.909
2.909 2.909 0.000
Li Co Re As
1 1 1 1
direct
0.000 0.000 0.000 Li
0.750 0.750 0.750 Co
0.250 0.250 0.250 Re
0.500 0.500 0.500 As
```

Calculated values
Polymorph energy (0 for the lowest one) = 0.000 eV/atom
Crystal system = cubic



[5]
Material: LiCoReAs
Method: DFT, PBE
State: relaxed

Geometry as POSCAR:
```
LiCoReAs
1.0
0.000 2.958 2.958
2.958 0.000 2.958
2.958 2.958 0.000
Li Co Re As
1 1 1 1
direct
0.000 0.000 0.000 Li
0.500 0.500 0.500 Co
0.750 0.750 0.750 Re
0.250 0.250 0.250 As
```

Calculated values
Polymorph energy (0 for the lowest one) = 0.213 eV/atom
Crystal system = cubic



[6]
Material: LiTaCoAs
Method: DFT, PBE
State: relaxed

Geometry as POSCAR:
```
LiTaCoAs
1.0
0.000 2.999 2.999
2.999 0.000 2.999
2.999 2.999 0.000
Li Ta Co As
1 1 1 1
direct
0.000 0.000 0.000 Li
0.750 0.750 0.750 Ta
0.500 0.500 0.500 Co
0.250 0.250 0.250 As
```

Calculated values
Polymorph energy (0 for the lowest one) = 0.000 eV/atom
Crystal system = cubic



[7]
Material: LiTaCoAs
Method: DFT, PBE
State: relaxed

Geometry as POSCAR:
```
LiTaCoAs
1.0
0.000 3.005 3.005
3.005 0.000 3.005
3.005 3.005 0.000
Li Ta Co As
1 1 1 1
direct
0.000 0.000 0.000 Li
0.250 0.250 0.250 Ta
0.750 0.750 0.750 Co
0.500 0.500 0.500 As
```

Calculated values
Polymorph energy (0 for the lowest one) = 0.070 eV/atom
Crystal system = cubic



[8]
Material: LiTlCoAs
Method: DFT, PBE
State: relaxed

Geometry as POSCAR:
```
LiTlCoAs
1.0
0.000 3.170 3.170
3.170 0.000 3.170
3.170 3.170 0.000
Li Tl Co As
1 1 1 1
direct
0.000 0.000 0.000 Li
0.250 0.250 0.250 Tl
0.500 0.500 0.500 Co
0.750 0.750 0.750 As
```

Calculated values
Polymorph energy (0 for the lowest one) = 0.000 eV/atom
Crystal system = cubic



[9]
Material: LiTlCoAs
Method: DFT, PBE
State: relaxed

Geometry as POSCAR:
```
LiTlCoAs
1.0
0.000 3.283 3.283
3.283 0.000 3.283
3.283 3.283 0.000
Li Tl Co As
1 1 1 1
direct
0.000 0.000 0.000 Li
0.250 0.250 0.250 Tl
0.750 0.750 0.750 Co
0.500 0.500 0.500 As
```

Calculated values
Polymorph energy (0 for the lowest one) = 0.265 eV/atom
Crystal system = cubic



[10]
Material: LiCoAsW
Method: DFT, PBE
State: relaxed

Geometry as POSCAR:
```
LiCoAsW
1.0
0.000 2.948 2.948
2.948 0.000 2.948
2.948 2.948 0.000
Li Co As W
1 1 1 1
direct
0.000 0.000 0.000 Li
0.250 0.250 0.250 Co
0.500 0.500 0.500 As
0.750 0.750 0.750 W
```

Calculated values
Polymorph energy (0 for the lowest one) = 0.000 eV/atom
Crystal system = cubic



[11]
Material: LiCoAsW
Method: DFT, PBE
State: relaxed

Geometry as POSCAR:
```
LiCoAsW
1.0
0.000 2.975 2.975
2.975 0.000 2.975
2.975 2.975 0.000
Li Co As W
1 1 1 1
direct
0.000 0.000 0.000 Li
0.500 0.500 0.500 Co
0.250 0.250 0.250 As
0.750 0.750 0.750 W
```

Calculated values
Polymorph energy (0 for the lowest one) = 0.089 eV/atom
Crystal system = cubic



[12]
Material: LiYCoAs
Method: DFT, PBE
State: relaxed

Geometry as POSCAR:
```
LiYCoAs
1.0
0.000 3.106 3.106
3.106 0.000 3.106
3.106 3.106 0.000
Li Y Co As
1 1 1 1
direct
0.000 0.000 0.000 Li
0.750 0.750 0.750 Y
0.500 0.500 0.500 Co
0.250 0.250 0.250 As
```

Calculated values
Polymorph energy (0 for the lowest one) = 0.000 eV/atom
Crystal system = cubic



[13]
Material: LiYCoAs
Method: DFT, PBE
State: relaxed

Geometry as POSCAR:
```
LiYCoAs
1.0
0.000 3.197 3.197
3.197 0.000 3.197
3.197 3.197 0.000
Li Y Co As
1 1 1 1
direct
0.000 0.000 0.000 Li
0.250 0.250 0.250 Y
0.750 0.750 0.750 Co
0.500 0.500 0.500 As
```

Calculated values
Polymorph energy (0 for the lowest one) = 0.203 eV/atom
Crystal system = cubic



[14]
Material: LiYCoAs
Method: DFT, PBE
State: relaxed

Geometry as POSCAR:
```
LiYCoAs
1.0
0.000 3.277 3.277
3.277 0.000 3.277
3.277 3.277 0.000
Li Y Co As
1 1 1 1
direct
0.000 0.000 0.000 Li
0.500 0.500 0.500 Y
0.750 0.750 0.750 Co
0.250 0.250 0.250 As
```

Calculated values
Polymorph energy (0 for the lowest one) = 0.195 eV/atom
Crystal system = cubic



[15]
Material: LiZrCoAs
Method: DFT, PBE
State: relaxed

Geometry as POSCAR:
```
LiZrCoAs
1.0
0.000 3.037 3.037
3.037 0.000 3.037
3.037 3.037 0.000
Li Zr Co As
1 1 1 1
direct
0.000 0.000 0.000 Li
0.750 0.750 0.750 Zr
0.500 0.500 0.500 Co
0.250 0.250 0.250 As
```

Calculated values
Polymorph energy (0 for the lowest one) = 0.000 eV/atom
Crystal system = cubic



[16]
Material: LiZrCoAs
Method: DFT, PBE
State: relaxed

Geometry as POSCAR:
```
LiZrCoAs
1.0
0.000 3.062 3.062
3.062 0.000 3.062
3.062 3.062 0.000
Li Zr Co As
1 1 1 1
direct
0.000 0.000 0.000 Li
0.250 0.250 0.250 Zr
0.750 0.750 0.750 Co
0.500 0.500 0.500 As
```

Calculated values
Polymorph energy (0 for the lowest one) = 0.195 eV/atom
Crystal system = cubic



[17]
Material: Lu2CoAs
Method: DFT, PBE
State: relaxed

Geometry as POSCAR:
```
Lu2CoAs
1.0
0.000 3.348 3.348
3.348 0.000 3.348
3.348 3.348 0.000
Lu Co As
2 1 1
direct
0.000 0.000 0.000 Lu
0.250 0.250 0.250 Lu
0.750 0.750 0.750 Co
0.500 0.500 0.500 As
```

Calculated values
Uncorrected energy = -5.17 eV/atom
Crystal system = cubic



[18]
Material: LuCoAs2
Method: DFT, PBE
State: relaxed

Geometry as POSCAR:
```
LuCoAs2
1.0
0.000 3.280 3.280
3.280 0.000 3.280
3.280 3.280 0.000
Lu Co As
1 1 2
direct
0.000 0.000 0.000 Lu
0.250 0.250 0.250 Co
0.500 0.500 0.500 As
0.750 0.750 0.750 As
```

Calculated values
Uncorrected energy = -5.32 eV/atom
Crystal system = cubic



[19]
Material: LuMgCoAs
Method: DFT, PBE
State: relaxed

Geometry as POSCAR:
```
LuMgCoAs
1.0
0.000 3.248 3.248
3.248 0.000 3.248
3.248 3.248 0.000
Lu Mg Co As
1 1 1 1
direct
0.000 0.000 0.000 Lu
0.250 0.250 0.250 Mg
0.750 0.750 0.750 Co
0.500 0.500 0.500 As
```

Calculated values
Polymorph energy (0 for the lowest one) = 0.000 eV/atom
Crystal system = cubic



[20]
Material: LuMgCoAs
Method: DFT, PBE
State: relaxed

Geometry as POSCAR:
```
LuMgCoAs
1.0
0.000 3.264 3.264
3.264 0.000 3.264
3.264 3.264 0.000
Lu Mg Co As
1 1 1 1
direct
0.000 0.000 0.000 Lu
0.750 0.750 0.750 Mg
0.500 0.500 0.500 Co
0.250 0.250 0.250 As
```

Calculated values
Polymorph energy (0 for the lowest one) = 0.006 eV/atom
Crystal system = cubic



[21]
Material: LuCoMoAs
Method: DFT, PBE
State: relaxed

Geometry as POSCAR:
```
LuCoMoAs
1.0
0.000 3.246 3.246
3.246 0.000 3.246
3.246 3.246 0.000
Lu Co Mo As
1 1 1 1
direct
0.000 0.000 0.000 Lu
0.500 0.500 0.500 Co
0.750 0.750 0.750 Mo
0.250 0.250 0.250 As
```

Calculated values
Polymorph energy (0 for the lowest one) = 0.254 eV/atom
Crystal system = cubic



[22]
Material: LuCoMoAs
Method: DFT, PBE
State: relaxed

Geometry as POSCAR:
```
LuCoMoAs
1.0
0.000 3.154 3.154
3.154 0.000 3.154
3.154 3.154 0.000
Lu Co Mo As
1 1 1 1
direct
0.000 0.000 0.000 Lu
0.750 0.750 0.750 Co
0.250 0.250 0.250 Mo
0.500 0.500 0.500 As
```

Calculated values
Polymorph energy (0 for the lowest one) = 0.000 eV/atom
Crystal system = cubic



[23]
Material: NaLuCoAs
Method: DFT, PBE
State: relaxed

Geometry as POSCAR:
```
NaLuCoAs
1.0
0.000 3.352 3.352
3.352 0.000 3.352
3.352 3.352 0.000
Na Lu Co As
1 1 1 1
direct
0.000 0.000 0.000 Na
0.500 0.500 0.500 Lu
0.750 0.750 0.750 Co
0.250 0.250 0.250 As
```

Calculated values
Polymorph energy (0 for the lowest one) = 0.029 eV/atom
Crystal system = cubic



[24]
Material: NaLuCoAs
Method: DFT, PBE
State: relaxed

Geometry as POSCAR:
```
NaLuCoAs
1.0
0.000 3.198 3.198
3.198 0.000 3.198
3.198 3.198 0.000
Na Lu Co As
1 1 1 1
direct
0.000 0.000 0.000 Na
0.250 0.250 0.250 Lu
0.500 0.500 0.500 Co
0.750 0.750 0.750 As
```

Calculated values
Polymorph energy (0 for the lowest one) = 0.000 eV/atom
Crystal system = cubic



[25]
Material: LuNbCoAs
Method: DFT, PBE
State: relaxed

Geometry as POSCAR:
```
LuNbCoAs
1.0
0.000 3.204 3.204
3.204 0.000 3.204
3.204 3.204 0.000
Lu Nb Co As
1 1 1 1
direct
0.000 0.000 0.000 Lu
0.250 0.250 0.250 Nb
0.750 0.750 0.750 Co
0.500 0.500 0.500 As
```

Calculated values
Polymorph energy (0 for the lowest one) = 0.000 eV/atom
Crystal system = cubic



[26]
Material: LuCoNiAs
Method: DFT, PBE
State: relaxed

Geometry as POSCAR:
```
LuCoNiAs
1.0
0.000 3.074 3.074
3.074 0.000 3.074
3.074 3.074 0.000
Lu Co Ni As
1 1 1 1
direct
0.000 0.000 0.000 Lu
0.750 0.750 0.750 Co
0.250 0.250 0.250 Ni
0.500 0.500 0.500 As
```

Calculated values
Polymorph energy (0 for the lowest one) = 0.000 eV/atom
Crystal system = cubic



[27]
Material: LuCoNiAs
Method: DFT, PBE
State: relaxed

Geometry as POSCAR:
```
LuCoNiAs
1.0
0.000 3.136 3.136
3.136 0.000 3.136
3.136 3.136 0.000
Lu Co Ni As
1 1 1 1
direct
0.000 0.000 0.000 Lu
0.500 0.500 0.500 Co
0.750 0.750 0.750 Ni
0.250 0.250 0.250 As
```

Calculated values
Polymorph energy (0 for the lowest one) = 0.130 eV/atom
Crystal system = cubic



[28]
Material: LuCoNiAs
Method: DFT, PBE
State: relaxed

Geometry as POSCAR:
```
LuCoNiAs
1.0
0.000 3.150 3.150
3.150 0.000 3.150
3.150 3.150 0.000
Lu Co Ni As
1 1 1 1
direct
0.000 0.000 0.000 Lu
0.750 0.750 0.750 Co
0.500 0.500 0.500 Ni
0.250 0.250 0.250 As
```

Calculated values
Polymorph energy (0 for the lowest one) = 0.225 eV/atom
Crystal system = cubic



[29]
Material: LuCoAsPd
Method: DFT, PBE
State: relaxed

Geometry as POSCAR:
```
LuCoAsPd
1.0
0.000 3.238 3.238
3.238 0.000 3.238
3.238 3.238 0.000
Lu Co As Pd
1 1 1 1
direct
0.000 0.000 0.000 Lu
0.500 0.500 0.500 Co
0.250 0.250 0.250 As
0.750 0.750 0.750 Pd
```

Calculated values
Polymorph energy (0 for the lowest one) = 0.040 eV/atom
Crystal system = cubic



[30]
Material: LuCoAsPd
Method: DFT, PBE
State: relaxed

Geometry as POSCAR:
```
LuCoAsPd
1.0
0.000 3.194 3.194
3.194 0.000 3.194
3.194 3.194 0.000
Lu Co As Pd
1 1 1 1
direct
0.000 0.000 0.000 Lu
0.750 0.750 0.750 Co
0.500 0.500 0.500 As
0.250 0.250 0.250 Pd
```

Calculated values
Polymorph energy (0 for the lowest one) = 0.000 eV/atom
Crystal system = cubic



[31]
Material: LuCoReAs
Method: DFT, PBE
State: relaxed

Geometry as POSCAR:
```
LuCoReAs
1.0
0.000 3.242 3.242
3.242 0.000 3.242
3.242 3.242 0.000
Lu Co Re As
1 1 1 1
direct
0.000 0.000 0.000 Lu
0.500 0.500 0.500 Co
0.750 0.750 0.750 Re
0.250 0.250 0.250 As
```

Calculated values
Polymorph energy (0 for the lowest one) = 0.279 eV/atom
Crystal system = cubic